Entry from Alexandria: CePrAgOs after structural relaxation (GGA-PBE).

Computed properties:
ΔE_f = -0.048 eV/atom

Structure (POSCAR):
```
CePrAgOs
1.0
5.1007 0.0000 0.0000
2.5503 4.4173 0.0000
2.5503 1.4724 4.1647
Pr Os Ag Ce
1 1 1 1
Direct
0.5000 0.5000 0.5000 Pr
0.2500 0.2500 0.2500 Os
0.7500 0.7500 0.7500 Ag
0.0000 0.0000 0.0000 Ce
```

***

Entry from Alexandria: SrSn2TeRh after structural relaxation (GGA-PBE).

Computed properties:
formation energy (no corrections) = -2.7 eV/f.u.

Structure (POSCAR):
```
SrSn2TeRh
1.0
-4.3973 2.5071 -0.1806
-0.8920 -1.2163 4.8352
2.7549 4.9583 1.7555
Sr Te Rh Sn
1 1 1 2
Direct
0.0000 0.0000 0.5000 Sr
0.5000 0.5000 0.5000 Te
0.0000 0.0000 0.0000 Rh
0.0000 0.5000 0.0000 Sn
0.5000 0.0000 0.0000 Sn
```

***

Entry from Alexandria: Pr3Ag after structural relaxation (GGA-PBE).

Computed properties:
offset from the most stable computed form = 0 meV per atom
ΔE_f = -0.084 eV/atom

Structure (POSCAR):
```
Pr3Ag
1.0
-2.2121 -2.6897 1.6459
4.5689 -3.2145 0.8875
-0.4062 5.4740 3.8923
Pr Ag
3 1
Direct
0.2805 0.6960 0.5610 Pr
0.5000 0.4171 0.0000 Pr
0.7195 0.1350 0.4390 Pr
0.0000 0.9186 0.0000 Ag
```

***

Entry from Alexandria: TbTmNi4 after structural relaxation (GGA-PBE).

Computed properties:
ΔE_f = -0.465 eV/atom

Structure (POSCAR):
```
TbTmNi4
1.0
5.0499 0.0000 0.0000
2.5250 4.3733 0.0000
2.5250 1.4578 4.1232
Ni Tm Tb
4 1 1
Direct
0.6246 0.6246 0.1261 Ni
0.6246 0.1261 0.6246 Ni
0.6246 0.6246 0.6246 Ni
0.1261 0.6246 0.6246 Ni
0.2500 0.2500 0.2500 Tm
0.0000 0.0000 0.0000 Tb
```

***

Entry from Alexandria: La8CuGe2 after structural relaxation (GGA-PBE).

Computed properties:
ΔE_f = -0.257 eV/atom

Structure (POSCAR):
```
La8CuGe2
1.0
-0.9126 0.2608 -6.0514
-7.4486 -2.3794 2.6157
2.2807 7.7634 1.5854
Ge Cu La
2 1 8
Direct
0.5414 0.7320 0.3467 Ge
0.5414 0.3467 0.7320 Ge
0.1487 0.0165 0.0165 Cu
0.6112 0.3264 0.1018 La
0.6112 0.1018 0.3264 La
0.2138 0.3794 0.3794 La
0.9521 0.1649 0.7269 La
0.9521 0.7269 0.1649 La
0.7910 0.6609 0.6609 La
0.3183 0.9315 0.6470 La
0.3183 0.6470 0.9315 La
```

***

Entry from Alexandria: PrZnFeC after structural relaxation (GGA-PBE).

Computed properties:
ΔE_f = -0.118 eV/atom

Structure (POSCAR):
```
PrZnFeC
1.0
3.4997 0.0000 0.0000
0.0000 3.4997 0.0000
0.0000 0.0000 10.7100
Pr Zn Fe C
2 2 2 2
Direct
0.7500 0.7500 0.2261 Pr
0.2500 0.2500 0.7739 Pr
0.2500 0.7500 0.5000 Zn
0.7500 0.2500 0.5000 Zn
0.7500 0.2500 0.0000 Fe
0.2500 0.7500 0.0000 Fe
0.7500 0.7500 0.9162 C
0.2500 0.2500 0.0838 C
```

***

Entry from Alexandria: Sc2GaCoH after structural relaxation (GGA-PBE).

Computed properties:
E = -5.734 eV per atom

Structure (POSCAR):
```
Sc2GaCoH
1.0
-1.7002 3.6908 2.0495
-4.1060 -1.9593 0.1221
0.7299 -1.3413 3.0210
Sc H Co Ga
2 1 1 1
Direct
0.0000 0.5000 0.0000 Sc
0.5000 0.0000 0.0000 Sc
0.0000 0.0000 0.0000 H
0.0000 0.0000 0.5000 Co
0.5000 0.5000 0.5000 Ga
```

***

Entry from Alexandria: Y2CrP after structural relaxation (GGA-PBE).

Computed properties:
ΔE_f = -0.489 eV/atom

Structure (POSCAR):
```
Y2CrP
1.0
9.8479 0.0000 0.0274
0.0000 3.8934 0.0000
-5.0651 0.0000 9.5040
Y Cr P
8 4 4
Direct
0.4596 0.0000 0.4717 Y
0.4596 0.5000 0.9717 Y
0.9011 0.0000 0.6416 Y
0.9011 0.5000 0.1416 Y
0.1923 0.0000 0.0884 Y
0.1923 0.5000 0.5884 Y
0.6763 0.0000 0.8334 Y
0.6763 0.5000 0.3334 Y
0.1170 0.0000 0.3527 Cr
0.1170 0.5000 0.8527 Cr
0.9232 0.0000 0.3656 Cr
0.9232 0.5000 0.8656 Cr
0.2307 0.0000 0.8207 P
0.2307 0.5000 0.3207 P
0.6832 0.0000 0.1300 P
0.6832 0.5000 0.6300 P
```

***

Entry from Alexandria: ZnCdPb2 after structural relaxation (GGA-PBE).

Computed properties:
offset from the most stable computed form = 36 meV per atom
ΔE_f = 0.114 eV/atom

Structure (POSCAR):
```
ZnCdPb2
1.0
-2.4680 -1.4661 1.9486
2.8054 -1.5430 1.3367
0.7777 6.5107 5.8834
Cd Pb Zn
1 2 1
Direct
0.5000 0.5000 0.7500 Cd
0.0000 0.0000 0.0191 Pb
0.0000 0.0000 0.4809 Pb
0.5000 0.5000 0.2500 Zn
```

***

Entry from Alexandria: CaNdCu2 after structural relaxation (GGA-PBE).

Computed properties:
offset from the most stable computed form = 17 meV per atom
ΔE_f = -0.133 eV/atom

Structure (POSCAR):
```
CaNdCu2
1.0
5.0299 0.0000 0.0000
2.5149 4.3560 0.0000
2.5149 1.4520 4.1069
Ca Nd Cu
1 1 2
Direct
0.5000 0.5000 0.5000 Ca
0.0000 0.0000 0.0000 Nd
0.2500 0.2500 0.2500 Cu
0.7500 0.7500 0.7500 Cu
```

***

Entry from Alexandria: PmEr5Tm4 after structural relaxation (GGA-PBE).

Computed properties:
offset from the most stable computed form = 288 meV per atom
ΔE_f = 0.312 eV/atom

Structure (POSCAR):
```
PmEr5Tm4
1.0
-2.3289 2.8058 5.0975
-7.5928 -1.3027 1.1011
0.3880 -4.3635 6.4320
Pm Er Tm
1 5 4
Direct
0.2234 0.0000 0.0000 Pm
0.8067 0.3775 0.9082 Er
0.1842 0.9082 0.6225 Er
0.7149 0.0918 0.3775 Er
0.0924 0.6225 0.0918 Er
0.6790 0.0000 0.0000 Er
0.4013 0.4000 0.7022 Tm
0.8013 0.7022 0.6000 Tm
0.1035 0.2978 0.4000 Tm
0.5035 0.6000 0.2978 Tm
```